The following is a PBE calculation of Ca5Cd2Sn5 after structural relaxation, from the Alexandria database.

Lattice parameters (Å, degrees): 17.414 4.790 10.165 90.00 125.66 90.00
Space group C2/m (No. 12)
Symmetry-distinct sites (fractional):
Ca (0.000, 0.000, 0.000) [2 per cell]
Ca (0.141, 0.000, 0.445) [4 per cell]
Ca (0.142, 0.000, 0.839) [4 per cell]
Cd (0.157, 0.500, 0.159) [4 per cell]
Sn (0.000, 0.500, 0.500) [2 per cell]
Sn (0.001, 0.500, 0.800) [4 per cell]
Sn (0.229, 0.500, 0.729) [4 per cell]

VASP energy ... -3.19 eV per atom
Formation energy from the elements ... -0.539 eV per atom